1.
Material: ReSi2Rh
Method: DFT, SCAN
State: PBEsol geometry

Structure (extended XYZ):
```
4
Lattice="-3.985 -0.852 0.844 -2.117 -2.648 -2.413 -1.062 -3.750 1.459" Properties=species:S:1:pos:R:3 pbc="T T T"
Re 0.000 0.000 0.000
Rh -3.582 -3.625 -0.055
Si -1.791 -1.812 -0.027
Si -5.373 -5.437 -0.082
```

- SG: Fm-3m (225)
- Total moment: 0.000 μB/atom
- Calculated density: 11.253 g cm⁻³
- Energy: -31.754 eV per atom
- E_form (uncorrected): -2.12 eV per formula unit

2.
Material: PtAu2
Method: DFT, SCAN
State: PBEsol geometry

Structure (extended XYZ):
```
6
Lattice="-1.240 -3.024 -3.203 3.179 -1.120 3.096 -3.911 -1.915 3.323" Properties=species:S:1:pos:R:3 pbc="T T T"
Au 0.000 0.000 0.000
Au -1.955 -0.957 1.661
Au -2.700 -3.826 1.389
Au 0.728 -2.233 1.827
Pt -0.745 -2.868 -0.272
Pt -1.227 -3.191 3.488
```

- SG: P6_3/mmc (194)
- Total moment: 0.000 μB/atom
- Calculated density: 19.693 g cm⁻³
- Formation energy from the elements: 151.5 meV per atom
- Energy: -69.351 eV per atom

3.
Material: CaIn2Pd2
Method: DFT, SCAN
State: PBEsol geometry

Structure (extended XYZ):
```
10
Lattice="-0.298 2.243 -2.360 0.918 -5.506 -5.347 -7.643 -1.150 -0.127" Properties=species:S:1:pos:R:3 pbc="T T T"
Ca 0.000 0.000 0.000
Ca -3.362 -3.328 -2.737
Pd -6.237 -2.966 -2.030
Pd -4.109 -5.468 -4.676
Pd -0.488 -3.691 -3.445
Pd -2.616 -1.189 -0.799
In -5.001 -0.474 -2.083
In -6.021 -3.450 -4.781
In -2.022 -3.940 -5.752
In -1.002 -0.964 -3.054
```

- SG: P4/mbm (127)
- Total moment: 0.000 μB/atom
- Calculated density: 8.204 g cm⁻³
- Formation energy from the elements: -611.1 meV per atom
- Energy: -29.008 eV per atom

4.
Material: ReTc2Pt
Method: DFT, SCAN
State: PBEsol geometry

Structure (extended XYZ):
```
4
Lattice="2.715 0.000 0.000 0.000 2.715 0.000 0.000 0.000 7.780" Properties=species:S:1:pos:R:3 pbc="T T T"
Pt 1.358 1.358 0.000
Re 1.358 1.358 3.890
Tc 0.000 0.000 5.780
Tc 0.000 0.000 2.000
```

- SG: P4/mmm (123)
- Total moment: 0.000 μB/atom
- Calculated density: 16.711 g cm⁻³
- Formation energy from the elements: -116.9 meV per atom
- Energy: -52.970 eV per atom

5.
Material: CrB2PdAu
Method: DFT, SCAN
State: PBEsol geometry

Structure (extended XYZ):
```
5
Lattice="-1.943 -2.235 2.681 0.837 -3.278 -2.126 4.390 -0.611 2.672" Properties=species:S:1:pos:R:3 pbc="T T T"
Cr 1.642 -3.062 1.614
B 0.419 -1.639 -1.063
B -0.972 -1.118 1.341
Au 0.000 0.000 0.000
Pd 2.195 -0.305 1.336
```

- SG: P4/mmm (123)
- Total moment: 0.933 μB/atom
- Calculated density: 7.578 g cm⁻³
- Formation energy from the elements: 1082.2 meV per atom
- Energy: -25.953 eV per atom

6.
Material: LaSmCr2O6
Method: DFT, SCAN
State: PBEsol geometry

Structure (extended XYZ):
```
20
Lattice="-5.128 0.000 1.647 -0.942 -4.551 -2.933 1.942 -4.299 6.047" Properties=species:S:1:pos:R:3 pbc="T T T"
La -0.698 -4.236 2.077
La -3.822 -6.511 1.462
Sm -1.869 -2.524 -1.194
Sm -3.832 -0.248 1.054
Cr -2.862 -5.523 4.328
Cr -0.797 -1.063 1.892
Cr -3.849 -3.339 1.255
Cr 0.190 -3.248 4.965
O -1.966 -7.042 3.413
O -2.238 -2.182 1.108
O -4.533 -2.171 2.699
O 0.488 -6.283 2.318
O -3.704 -4.007 5.282
O -0.341 -4.446 -0.265
O -3.134 -4.457 -0.222
O -1.071 -4.766 4.743
O -1.737 -4.442 -2.600
O -4.758 -2.166 -0.012
O -0.697 -2.213 3.514
O -2.986 -4.489 2.631
```

- SG: Pmc2_1 (26)
- Total moment: 0.600 μB/atom
- Calculated density: 7.158 g cm⁻³
- Energy: -19.440 eV per atom
- E_form (uncorrected): -32.69 eV per formula unit

What is the formula in the fifth record? CrB2PdAu

Which of these has the highest total moment? CrB2PdAu